A relaxed Ir2RuAu crystal, computed with PBE.

## Properties
Calculated volume (Å³ per atom): 15.1
N(E_F) (states/eV per atom): 1.50
Magnetic moment (μB/f.u.): 0.001
Relative energy among the computed polymorphs (meV per atom): 188
Energy of formation (eV per formula unit): 1.4

abc: 4.7886 2.7797 4.8230
angles: 90.00 109.55 90.00
Closest atoms and distances in Å follow each position.
Space group P2/m (No. 10)
One atom of each set of equivalent atoms:
Ir 0.0000 0.0000 0.0000  6 Ir 2.77-2.78, 2 Au 2.77, 4 Ru 2.78
Ir 0.5000 0.5000 0.0000  6 Ir 2.77-2.78, 2 Ru 2.77, 4 Au 2.78
Ru 0.0000 0.5000 0.5000  4 Au 2.77, 6 Ir 2.77-2.78, 2 Ru 2.78
Au 0.5000 0.0000 0.5000  4 Ru 2.77, 6 Ir 2.77-2.78, 2 Au 2.78